Entry P
Here is a relaxed Ce6TlIn crystal from the Alexandria database. Energies are from PBE.

The calculation puts the density of states at the Fermi level at 2.71 states/eV/atom. For the magnetization, the calculation gives 0.21 μB per atom. For the volume, the calculation gives 448.9 Å³/cell.

a = 7.5492 Å, b = 11.1857 Å, c = 6.5097 Å
α = 90.00°, β = 125.25°, γ = 90.00°
Space group C2/m (No. 12)
One atom of each set of equivalent atoms:
Ce (0.2100, 0.0000, 0.1858)
Ce (0.2105, 0.2513, 0.2662)
Tl (0.0000, 0.5000, 0.0000)
In (0.0000, 0.0000, 0.5000)

Entry Q
Here is a relaxed Ce6TlIn crystal from the Alexandria database. Energies are from PBE.

The calculation puts the density of states at the Fermi level at 3.23 states/eV/atom. For the magnetization, the calculation gives 0.74 μB per atom. For the volume, the calculation gives 223.2 Å³/cell.

a = 4.8145 Å, b = 4.8145 Å, c = 9.6294 Å
α = 90.00°, β = 90.00°, γ = 90.00°
Space group P4/mmm (No. 123)
One atom of each set of equivalent atoms:
Ce (0.0000, 0.0000, 0.0000)
Ce (0.0000, 0.0000, 0.5000)
Ce (0.0000, 0.5000, 0.2484)
Tl (0.5000, 0.5000, 0.5000)
In (0.5000, 0.5000, 0.0000)

Stability ranking, top entry: entry Q; the second entry is 26.2 kJ/mol of atoms less favorable.